1.
CeDyScIn: relaxed, PBE.

Geometry as CIF:
```
data_CeDyScIn
_chemical_formula_sum 'Ce4 Dy4 Sc4 In4'
_cell_length_a 7.4493
_cell_length_b 7.4493
_cell_length_c 7.4493
_cell_angle_alpha 90.00
_cell_angle_beta 90.00
_cell_angle_gamma 90.00
_symmetry_space_group_name_H-M 'F -4 3 m'
_symmetry_Int_Tables_number 216
_symmetry_space_group_name_Hall 'F -4 2 3'
loop_
_atom_site_label
_atom_site_type_symbol
_atom_site_fract_x
_atom_site_fract_y
_atom_site_fract_z
Ce1 Ce 0.0000 0.0000 0.0000
Dy1 Dy 0.2500 0.2500 0.7500
Sc1 Sc 0.2500 0.2500 0.2500
In1 In 0.0000 0.0000 0.5000
```



2.
CeDyInSn: relaxed, PBE.

Results
Energy relative to the lowest polymorph listed for this composition in kJ per mole of atoms: 3.6

Geometry as CIF:
```
data_CeDyInSn
_chemical_formula_sum 'Ce4 Dy4 In4 Sn4'
_cell_length_a 7.6272
_cell_length_b 7.6272
_cell_length_c 7.6272
_cell_angle_alpha 90.00
_cell_angle_beta 90.00
_cell_angle_gamma 90.00
_symmetry_space_group_name_H-M 'F -4 3 m'
_symmetry_Int_Tables_number 216
_symmetry_space_group_name_Hall 'F -4 2 3'
loop_
_atom_site_label
_atom_site_type_symbol
_atom_site_fract_x
_atom_site_fract_y
_atom_site_fract_z
Ce1 Ce 0.0000 0.0000 0.0000
Dy1 Dy 0.0000 0.0000 0.5000
In1 In 0.2500 0.2500 0.7500
Sn1 Sn 0.2500 0.2500 0.2500
```



3.
CeDyInSn: relaxed, PBE.

Results
Energy relative to the lowest polymorph listed for this composition in kJ per mole of atoms: 0.0

Geometry as CIF:
```
data_CeDyInSn
_chemical_formula_sum 'Ce1 Dy1 In1 Sn1'
_cell_length_a 4.4606
_cell_length_b 4.9233
_cell_length_c 4.9592
_cell_angle_alpha 90.00
_cell_angle_beta 90.00
_cell_angle_gamma 90.00
_symmetry_space_group_name_H-M 'P m m m'
_symmetry_Int_Tables_number 47
loop_
_symmetry_equiv_pos_as_xyz
'x,y,z'
'-x,-y,-z'
'-x,-y,z'
'x,y,-z'
'x,-y,-z'
'-x,y,z'
'-x,y,-z'
'x,-y,z'
loop_
_atom_site_label
_atom_site_type_symbol
_atom_site_fract_x
_atom_site_fract_y
_atom_site_fract_z
Ce1 Ce 0.0000 0.0000 0.0000
Dy1 Dy 0.0000 0.5000 0.5000
In1 In 0.5000 0.0000 0.5000
Sn1 Sn 0.5000 0.5000 0.0000
```



4.
TbCeDyIn: relaxed, PBE.

Geometry as CIF:
```
data_TbCeDyIn
_chemical_formula_sum 'Tb4 Ce4 Dy4 In4'
_cell_length_a 7.6382
_cell_length_b 7.6382
_cell_length_c 7.6382
_cell_angle_alpha 90.00
_cell_angle_beta 90.00
_cell_angle_gamma 90.00
_symmetry_space_group_name_H-M 'F -4 3 m'
_symmetry_Int_Tables_number 216
_symmetry_space_group_name_Hall 'F -4 2 3'
loop_
_atom_site_label
_atom_site_type_symbol
_atom_site_fract_x
_atom_site_fract_y
_atom_site_fract_z
Tb1 Tb 0.0000 0.0000 0.0000
Ce1 Ce 0.2500 0.2500 0.7500
Dy1 Dy 0.0000 0.0000 0.5000
In1 In 0.2500 0.2500 0.2500
```



5.
CeDyTlIn: relaxed, PBE.

Results
Energy relative to the lowest polymorph listed for this composition in kJ per mole of atoms: 0.0

Geometry as CIF:
```
data_CeDyTlIn
_chemical_formula_sum 'Ce2 Dy2 Tl2 In2'
_cell_length_a 5.0194
_cell_length_b 5.0194
_cell_length_c 8.8223
_cell_angle_alpha 90.00
_cell_angle_beta 90.00
_cell_angle_gamma 90.00
_symmetry_space_group_name_H-M 'I -4 m 2'
_symmetry_Int_Tables_number 119
_symmetry_space_group_name_Hall 'I -4 -2'
loop_
_atom_site_label
_atom_site_type_symbol
_atom_site_fract_x
_atom_site_fract_y
_atom_site_fract_z
Ce1 Ce 0.0000 0.0000 0.0000
Dy1 Dy 0.0000 0.0000 0.5000
Tl1 Tl 0.0000 0.5000 0.7500
In1 In 0.0000 0.5000 0.2500
```



6.
CeDyTlIn: relaxed, PBE.

Results
Energy relative to the lowest polymorph listed for this composition in kJ per mole of atoms: 0.2

Geometry as CIF:
```
data_CeDyTlIn
_chemical_formula_sum 'Ce4 Dy4 Tl4 In4'
_cell_length_a 7.6649
_cell_length_b 7.6649
_cell_length_c 7.6649
_cell_angle_alpha 90.00
_cell_angle_beta 90.00
_cell_angle_gamma 90.00
_symmetry_space_group_name_H-M 'F -4 3 m'
_symmetry_Int_Tables_number 216
_symmetry_space_group_name_Hall 'F -4 2 3'
loop_
_atom_site_label
_atom_site_type_symbol
_atom_site_fract_x
_atom_site_fract_y
_atom_site_fract_z
Ce1 Ce 0.0000 0.0000 0.0000
Dy1 Dy 0.0000 0.0000 0.5000
Tl1 Tl 0.2500 0.2500 0.2500
In1 In 0.2500 0.2500 0.7500
```



7.
CeDyTmIn: relaxed, PBE.

Geometry as CIF:
```
data_CeDyTmIn
_chemical_formula_sum 'Ce4 Dy4 Tm4 In4'
_cell_length_a 7.5935
_cell_length_b 7.5935
_cell_length_c 7.5935
_cell_angle_alpha 90.00
_cell_angle_beta 90.00
_cell_angle_gamma 90.00
_symmetry_space_group_name_H-M 'F -4 3 m'
_symmetry_Int_Tables_number 216
_symmetry_space_group_name_Hall 'F -4 2 3'
loop_
_atom_site_label
_atom_site_type_symbol
_atom_site_fract_x
_atom_site_fract_y
_atom_site_fract_z
Ce1 Ce 0.0000 0.0000 0.0000
Dy1 Dy 0.2500 0.2500 0.7500
Tm1 Tm 0.2500 0.2500 0.2500
In1 In 0.0000 0.0000 0.5000
```



8.
CeDyTm2In4: relaxed, PBE.

Geometry as CIF:
```
data_CeDyTm2In4
_chemical_formula_sum 'Ce3 Dy3 Tm6 In12'
_cell_length_a 5.3161
_cell_length_b 5.3161
_cell_length_c 26.2247
_cell_angle_alpha 90.00
_cell_angle_beta 90.00
_cell_angle_gamma 120.00
_symmetry_space_group_name_H-M 'R -3 m'
_symmetry_Int_Tables_number 166
_symmetry_space_group_name_Hall '-R 3 2"'
loop_
_atom_site_label
_atom_site_type_symbol
_atom_site_fract_x
_atom_site_fract_y
_atom_site_fract_z
Ce1 Ce 0.0000 0.0000 0.0000
Dy1 Dy 0.0000 0.0000 0.5000
Tm1 Tm 0.0000 0.0000 0.2497
In1 In 0.0000 0.0000 0.1263
In2 In 0.0000 0.0000 0.3765
```



9.
CeDyZn2In2: relaxed, PBE.

Geometry as CIF:
```
data_CeDyZn2In2
_chemical_formula_sum 'Ce1 Dy1 Zn2 In2'
_cell_length_a 4.7061
_cell_length_b 4.7061
_cell_length_c 7.4092
_cell_angle_alpha 90.00
_cell_angle_beta 90.00
_cell_angle_gamma 120.00
_symmetry_space_group_name_H-M 'P -3 m 1'
_symmetry_Int_Tables_number 164
_symmetry_space_group_name_Hall '-P 3 2"'
loop_
_atom_site_label
_atom_site_type_symbol
_atom_site_fract_x
_atom_site_fract_y
_atom_site_fract_z
Ce1 Ce 0.0000 0.0000 0.0000
Dy1 Dy 0.0000 0.0000 0.5000
Zn1 Zn 0.3333 0.6667 0.2738
In1 In 0.3333 0.6667 0.7415
```



10.
CeDyZrIn: relaxed, PBE.

Geometry as CIF:
```
data_CeDyZrIn
_chemical_formula_sum 'Ce4 Dy4 Zr4 In4'
_cell_length_a 7.4073
_cell_length_b 7.4073
_cell_length_c 7.4073
_cell_angle_alpha 90.00
_cell_angle_beta 90.00
_cell_angle_gamma 90.00
_symmetry_space_group_name_H-M 'F -4 3 m'
_symmetry_Int_Tables_number 216
_symmetry_space_group_name_Hall 'F -4 2 3'
loop_
_atom_site_label
_atom_site_type_symbol
_atom_site_fract_x
_atom_site_fract_y
_atom_site_fract_z
Ce1 Ce 0.0000 0.0000 0.0000
Dy1 Dy 0.2500 0.2500 0.7500
Zr1 Zr 0.2500 0.2500 0.2500
In1 In 0.0000 0.0000 0.5000
```



11.
Ce2DyIr9: relaxed, PBE.

Geometry as CIF:
```
data_Ce2DyIr9
_chemical_formula_sum 'Ce6 Dy3 Ir27'
_cell_length_a 5.3112
_cell_length_b 5.3112
_cell_length_c 26.5902
_cell_angle_alpha 90.00
_cell_angle_beta 90.00
_cell_angle_gamma 120.00
_symmetry_space_group_name_H-M 'R -3 m'
_symmetry_Int_Tables_number 166
_symmetry_space_group_name_Hall '-R 3 2"'
loop_
_atom_site_label
_atom_site_type_symbol
_atom_site_fract_x
_atom_site_fract_y
_atom_site_fract_z
Ce1 Ce 0.0000 0.0000 0.1389
Dy1 Dy 0.0000 0.0000 0.0000
Ir1 Ir 0.0000 0.0000 0.3328
Ir2 Ir 0.0000 0.0000 0.5000
Ir3 Ir 0.0006 0.5003 0.9180
```



12.
Ce3Dy2Ir2: relaxed, PBE.

Geometry as CIF:
```
data_Ce3Dy2Ir2
_chemical_formula_sum 'Ce6 Dy4 Ir4'
_cell_length_a 11.3294
_cell_length_b 4.0705
_cell_length_c 8.6035
_cell_angle_alpha 90.00
_cell_angle_beta 114.57
_cell_angle_gamma 90.00
_symmetry_space_group_name_H-M 'C 1 2/m 1'
_symmetry_Int_Tables_number 12
loop_
_symmetry_equiv_pos_as_xyz
'x,y,z'
'-x,-y,-z'
'-x,y,-z'
'x,-y,z'
'x+1/2,y+1/2,z'
'-x+1/2,-y+1/2,-z'
'-x+1/2,y+1/2,-z'
'x+1/2,-y+1/2,z'
loop_
_atom_site_label
_atom_site_type_symbol
_atom_site_fract_x
_atom_site_fract_y
_atom_site_fract_z
Ce1 Ce 0.0000 0.0000 0.0000
Ce2 Ce 0.1577 0.0000 0.4568
Dy1 Dy 0.1525 0.5000 0.8060
Ir1 Ir 0.1633 0.5000 0.1798
```



| no. | uncorrected energy (eV/atom) |
| --- | --- |
| 1 | -4.981 |
| 2 | -4.791 |
| 3 | -4.828 |
| 4 | -4.553 |
| 5 | -4.248 |
| 6 | -4.246 |
| 7 | -4.500 |
| 8 | -4.217 |
| 9 | -3.471 |
| 10 | -5.491 |
| 11 | -8.604 |
| 12 | -6.896 |